VASP calculation (PBE-GGA) on a relaxed structure of AcPC.

Results
ΔH_f (0 K)	0.22	eV per atom
D(E_F)	3.27	states/eV/cell
space group	P1 (1)

Unit cell a=4.177 b=4.674 c=8.919 alpha=105.20 beta=98.40 gamma=55.80
Fractional coordinates of all 6 atoms:
Ac 0.544 0.754 0.427
C 0.770 0.206 0.560
P 0.117 0.111 0.717
C 0.769 0.364 0.874
Ac 0.541 0.045 0.006
P 0.396 0.472 0.717


VASP calculation (PBE-GGA) on a relaxed structure of Ac2PC.

Results
ΔH_f (0 K)	-0.37	eV per atom
excess energy over the best structure of this formula in the dataset	0	meV per atom
D(E_F)	4.49	states/eV/cell
space group	R-3m (166)

Unit cell a=4.228 b=4.228 c=7.386 alpha=73.37 beta=73.37 gamma=60.00
Fractional coordinates of all 4 atoms:
C 0.500 0.500 0.500
Ac 0.758 0.758 0.726
P 0.000 0.000 0.000
Ac 0.242 0.242 0.274


VASP calculation (PBE-GGA) on a relaxed structure of AcPaPC.

Results
ΔH_f (0 K)	-0.62	eV per atom
D(E_F)	3.22	states/eV/cell
space group	R-3m (166)

Unit cell a=4.097 b=4.097 c=14.059 alpha=81.62 beta=81.62 gamma=60.00
Fractional coordinates of all 8 atoms:
Ac 0.787 0.787 0.640
C 0.688 0.688 0.935
P 0.921 0.921 0.236
Ac 0.213 0.213 0.360
P 0.079 0.079 0.764
Pa 0.633 0.633 0.101
Pa 0.367 0.367 0.899
C 0.312 0.312 0.065


VASP calculation (PBE-GGA) on a relaxed structure of AcPRu2C.

Results
ΔH_f (0 K)	-0.50	eV per atom
D(E_F)	3.41	states/eV/cell
space group	Cmcm (63)

Unit cell a=4.107 b=5.931 c=7.286 alpha=90.00 beta=90.00 gamma=110.26
Fractional coordinates of all 10 atoms:
P 0.729 0.458 0.750
Ru 0.833 0.666 0.054
Ru 0.167 0.334 0.946
Ac 0.450 0.900 0.750
Ru 0.167 0.334 0.554
C 0.000 0.000 0.500
C 0.000 0.000 0.000
Ru 0.833 0.666 0.446
P 0.271 0.542 0.250
Ac 0.550 0.100 0.250


VASP calculation (PBE-GGA) on a relaxed structure of Ac2P2Ru2C.

Results
ΔH_f (0 K)	-0.79	eV per atom
D(E_F)	3.78	states/eV/cell
space group	C2/m (12)

Unit cell a=4.113 b=6.054 c=6.442 alpha=70.47 beta=71.38 gamma=70.14
Fractional coordinates of all 7 atoms:
Ru 0.809 0.309 0.074
C 0.000 0.000 0.000
P 0.808 0.642 0.742
Ac 0.437 0.809 0.317
P 0.192 0.358 0.258
Ac 0.563 0.191 0.683
Ru 0.191 0.691 0.926


VASP calculation (PBE-GGA) on a relaxed structure of Ac4PCS2.

Results
formation energy without anion corrections	-1.35	eV/atom
D(E_F)	2.23	states/eV/cell
space group	P2/m (10)

Unit cell a=4.273 b=7.465 c=7.508 alpha=109.05 beta=90.00 gamma=90.00
Fractional coordinates of all 8 atoms:
Ac 0.000 0.272 0.775
C 0.500 0.500 0.000
P 0.000 0.000 0.000
S 0.500 0.000 0.500
Ac 0.000 0.728 0.225
Ac 0.500 0.260 0.233
S 0.000 0.500 0.500
Ac 0.500 0.740 0.767


VASP calculation (PBE-GGA) on a relaxed structure of Ac4PCSe2.

Results
formation energy without anion corrections	-1.29	eV/atom
D(E_F)	2.28	states/eV/cell
space group	P2/m (10)

Unit cell a=4.320 b=7.545 c=7.719 alpha=108.70 beta=90.00 gamma=90.00
Fractional coordinates of all 8 atoms:
Ac 0.000 0.275 0.783
P 0.000 0.000 0.000
Se 0.000 0.500 0.500
Ac 0.000 0.725 0.217
Ac 0.500 0.258 0.224
C 0.500 0.500 0.000
Ac 0.500 0.742 0.776
Se 0.500 0.000 0.500


VASP calculation (PBE-GGA) on a relaxed structure of AcPaC2.

Results
ΔH_f (0 K)	-0.06	eV per atom
excess energy over the best structure of this formula in the dataset	0	meV per atom
D(E_F)	2.99	states/eV/cell
space group	R-3m (166)

Unit cell a=3.753 b=3.753 c=6.651 alpha=73.61 beta=73.61 gamma=60.00
Fractional coordinates of all 4 atoms:
Ac 0.500 0.500 0.500
C 0.732 0.732 0.803
C 0.268 0.268 0.197
Pa 0.000 0.000 0.000